Record 1
The following is a DFT calculation (PBE) of a geometry-optimized Ba2LiP structure.

Summary:
size of the total moment: 0.7 Bohr magnetons per cell
ΔE_f: -53.6 kJ per mole of atoms
DOS at the Fermi energy: 0.4554 states/eV per atom

Geometry as CIF:
```
data_Ba2LiP
_symmetry_space_group_name_H-M 'C 1 m 1'
_symmetry_Int_Tables_number 8
_cell_length_a 7.991
_cell_length_b 4.617
_cell_length_c 8.722
_cell_angle_alpha 90.00
_cell_angle_beta 90.04
_cell_angle_gamma 90.00
loop_
_symmetry_equiv_pos_as_xyz
'x,y,z'
'x,-y,z'
'x+1/2,y+1/2,z'
'x+1/2,-y+1/2,z'
loop_
_atom_site_label
_atom_site_type_symbol
_atom_site_fract_x
_atom_site_fract_y
_atom_site_fract_z
_atom_site_occupancy
Ba1 Ba 0.000 0.000 0.000 1
Ba2 Ba 0.167 0.500 0.450 1
Li1 Li 0.333 0.000 0.748 1
P1 P 0.166 0.500 0.807 1
```

---

Record 2
The following is a DFT calculation (PBE) of a geometry-optimized BaLiP structure.

Summary:
size of the total moment: 0.0 Bohr magnetons per cell
ΔE_f: -84.4 kJ per mole of atoms

Geometry as CIF:
```
data_BaLiP
_symmetry_space_group_name_H-M 'P -6 m 2'
_symmetry_Int_Tables_number 187
_symmetry_space_group_name_Hall 'P -6 2'
_cell_length_a 4.4348
_cell_length_b 4.4348
_cell_length_c 4.5258
_cell_angle_alpha 90.00
_cell_angle_beta 90.00
_cell_angle_gamma 120.00
loop_
_atom_site_label
_atom_site_type_symbol
_atom_site_fract_x
_atom_site_fract_y
_atom_site_fract_z
_atom_site_occupancy
Ba1 Ba 0.0000 0.0000 0.0000 1
Li1 Li 0.3333 0.6667 0.5000 1
P1 P 0.6667 0.3333 0.5000 1
```

---

Record 3
The following is a DFT calculation (PBE) of a geometry-optimized Ba2LiPPd6 structure.

Summary:
size of the total moment: 0.0 Bohr magnetons per cell
ΔE_f: -50.9 kJ per mole of atoms
DOS at the Fermi energy: 0.9245 states/eV per atom

Geometry as CIF:
```
data_Ba2LiPPd6
_symmetry_space_group_name_H-M 'R -3 m'
_symmetry_Int_Tables_number 166
_symmetry_space_group_name_Hall '-R 3 2"'
_cell_length_a 6.3846
_cell_length_b 6.3846
_cell_length_c 36.5049
_cell_angle_alpha 90.00
_cell_angle_beta 90.00
_cell_angle_gamma 120.00
loop_
_atom_site_label
_atom_site_type_symbol
_atom_site_fract_x
_atom_site_fract_y
_atom_site_fract_z
_atom_site_occupancy
Ba1 Ba 0.0000 0.0000 0.1094 1
Ba2 Ba 0.0000 0.0000 0.2817 1
Li1 Li 0.0000 0.0000 0.4251 1
P1 P 0.0000 0.0000 0.0000 1
P2 P 0.0000 0.0000 0.5000 1
Pd1 Pd 0.0446 0.5223 0.3040 1
Pd2 Pd 0.0497 0.5248 0.8605 1
```

---

Record 4
The following is a DFT calculation (PBE) of a geometry-optimized Ba2LiP3Pd4 structure.

Summary:
size of the total moment: 0.0 Bohr magnetons per cell
ΔE_f: -72.9 kJ per mole of atoms
DOS at the Fermi energy: 0.4462 states/eV per atom

Geometry as CIF:
```
data_Ba2LiP3Pd4
_symmetry_space_group_name_H-M 'P -4 m 2'
_symmetry_Int_Tables_number 115
_cell_length_a 4.381
_cell_length_b 4.381
_cell_length_c 10.149
_cell_angle_alpha 90.00
_cell_angle_beta 90.00
_cell_angle_gamma 90.00
loop_
_symmetry_equiv_pos_as_xyz
'x,y,z'
'y,-x,-z'
'-x,-y,z'
'-y,x,-z'
'-x,y,z'
'-y,-x,-z'
'x,-y,z'
'y,x,-z'
loop_
_atom_site_label
_atom_site_type_symbol
_atom_site_fract_x
_atom_site_fract_y
_atom_site_fract_z
_atom_site_occupancy
Ba1 Ba 0.000 0.500 0.247 1
Li1 Li 0.500 0.500 0.000 1
P1 P 0.000 0.000 0.000 1
P2 P 0.000 0.500 0.626 1
Pd1 Pd 0.000 0.000 0.500 1
Pd2 Pd 0.000 0.500 0.876 1
Pd3 Pd 0.500 0.500 0.500 1
```

---

Record 5
The following is a DFT calculation (PBE) of a geometry-optimized BaLiPPd2 structure.

Summary:
size of the total moment: 0.0 Bohr magnetons per cell
ΔE_f: -61.7 kJ per mole of atoms
DOS at the Fermi energy: 0.1908 states/eV per atom

Geometry as CIF:
```
data_BaLiPPd2
_symmetry_space_group_name_H-M 'P 4/m m m'
_symmetry_Int_Tables_number 123
_symmetry_space_group_name_Hall '-P 4 2'
_cell_length_a 4.796
_cell_length_b 4.796
_cell_length_c 4.674
_cell_angle_alpha 90.00
_cell_angle_beta 90.00
_cell_angle_gamma 90.00
loop_
_atom_site_label
_atom_site_type_symbol
_atom_site_fract_x
_atom_site_fract_y
_atom_site_fract_z
_atom_site_occupancy
Ba1 Ba 0.000 0.000 0.000 1
Li1 Li 0.500 0.500 0.000 1
P1 P 0.500 0.500 0.500 1
Pd1 Pd 0.000 0.500 0.500 1
```

---

Record 6
The following is a DFT calculation (PBE) of a geometry-optimized BaLiP2Pd5 structure.

Summary:
size of the total moment: 0.0 Bohr magnetons per cell
ΔE_f: -53.4 kJ per mole of atoms
DOS at the Fermi energy: 0.5881 states/eV per atom

Geometry as CIF:
```
data_BaLiP2Pd5
_symmetry_space_group_name_H-M 'P 4/m m m'
_symmetry_Int_Tables_number 123
_symmetry_space_group_name_Hall '-P 4 2'
_cell_length_a 4.367
_cell_length_b 4.367
_cell_length_c 9.192
_cell_angle_alpha 90.00
_cell_angle_beta 90.00
_cell_angle_gamma 90.00
loop_
_atom_site_label
_atom_site_type_symbol
_atom_site_fract_x
_atom_site_fract_y
_atom_site_fract_z
_atom_site_occupancy
Ba1 Ba 0.000 0.000 0.000 1
Li1 Li 0.000 0.000 0.500 1
P1 P 0.500 0.500 0.253 1
Pd1 Pd 0.000 0.500 0.342 1
Pd2 Pd 0.500 0.500 0.000 1
```

---

Record 7
The following is a DFT calculation (PBE) of a geometry-optimized BaLi2PPd2 structure.

Summary:
size of the total moment: 0.6 Bohr magnetons per cell
ΔE_f: -51.2 kJ per mole of atoms
DOS at the Fermi energy: 0.5168 states/eV per atom

Geometry as CIF:
```
data_BaLi2PPd2
_symmetry_space_group_name_H-M 'P 4/m m m'
_symmetry_Int_Tables_number 123
_symmetry_space_group_name_Hall '-P 4 2'
_cell_length_a 4.660
_cell_length_b 4.660
_cell_length_c 6.347
_cell_angle_alpha 90.00
_cell_angle_beta 90.00
_cell_angle_gamma 90.00
loop_
_atom_site_label
_atom_site_type_symbol
_atom_site_fract_x
_atom_site_fract_y
_atom_site_fract_z
_atom_site_occupancy
Ba1 Ba 0.000 0.000 0.000 1
Li1 Li 0.500 0.500 0.288 1
P1 P 0.000 0.000 0.500 1
Pd1 Pd 0.000 0.500 0.500 1
```

---

Record 8
The following is a DFT calculation (PBE) of a geometry-optimized BaLi2PmP2 structure.

Summary:
size of the total moment: 0.5 Bohr magnetons per cell
ΔE_f: -91.7 kJ per mole of atoms
DOS at the Fermi energy: 0.4534 states/eV per atom

Geometry as CIF:
```
data_BaLi2PmP2
_symmetry_space_group_name_H-M 'P -3 m 1'
_symmetry_Int_Tables_number 164
_symmetry_space_group_name_Hall '-P 3 2"'
_cell_length_a 4.2756
_cell_length_b 4.2756
_cell_length_c 8.4799
_cell_angle_alpha 90.00
_cell_angle_beta 90.00
_cell_angle_gamma 120.00
loop_
_atom_site_label
_atom_site_type_symbol
_atom_site_fract_x
_atom_site_fract_y
_atom_site_fract_z
_atom_site_occupancy
Ba1 Ba 0.0000 0.0000 0.0000 1
Li1 Li 0.3333 0.6667 0.7290 1
Pm1 Pm 0.0000 0.0000 0.5000 1
P1 P 0.3333 0.6667 0.2910 1
```

---

Record 9
The following is a DFT calculation (PBE) of a geometry-optimized BaLi2PrP2 structure.

Summary:
size of the total moment: 0.5 Bohr magnetons per cell
ΔE_f: -90.9 kJ per mole of atoms
DOS at the Fermi energy: 0.5050 states/eV per atom

Geometry as CIF:
```
data_BaLi2PrP2
_symmetry_space_group_name_H-M 'P -3 m 1'
_symmetry_Int_Tables_number 164
_symmetry_space_group_name_Hall '-P 3 2"'
_cell_length_a 4.3062
_cell_length_b 4.3062
_cell_length_c 8.5309
_cell_angle_alpha 90.00
_cell_angle_beta 90.00
_cell_angle_gamma 120.00
loop_
_atom_site_label
_atom_site_type_symbol
_atom_site_fract_x
_atom_site_fract_y
_atom_site_fract_z
_atom_site_occupancy
Ba1 Ba 0.0000 0.0000 0.0000 1
Li1 Li 0.3333 0.6667 0.7315 1
Pr1 Pr 0.0000 0.0000 0.5000 1
P1 P 0.3333 0.6667 0.2849 1
```

---

Record 10
The following is a DFT calculation (PBE) of a geometry-optimized Ba2LiP3Pt12 structure.

Summary:
size of the total moment: 0.0 Bohr magnetons per cell
ΔE_f: -36.0 kJ per mole of atoms
DOS at the Fermi energy: 0.3544 states/eV per atom

Geometry as CIF:
```
data_Ba2LiP3Pt12
_symmetry_space_group_name_H-M 'R -3 m'
_symmetry_Int_Tables_number 166
_symmetry_space_group_name_Hall '-R 3 2"'
_cell_length_a 8.3743
_cell_length_b 8.3743
_cell_length_c 18.0678
_cell_angle_alpha 90.00
_cell_angle_beta 90.00
_cell_angle_gamma 120.00
loop_
_atom_site_label
_atom_site_type_symbol
_atom_site_fract_x
_atom_site_fract_y
_atom_site_fract_z
_atom_site_occupancy
Ba1 Ba 0.0000 0.0000 0.1169 1
Li1 Li 0.0000 0.0000 0.5000 1
P1 P 0.0000 0.5000 0.0000 1
Pt1 Pt 0.0242 0.5121 0.1239 1
Pt2 Pt 0.0489 0.5245 0.3590 1
```

---

Record 11
The following is a DFT calculation (PBE) of a geometry-optimized BaLiP2Pt4 structure.

Summary:
size of the total moment: 0.0 Bohr magnetons per cell
ΔE_f: -66.0 kJ per mole of atoms
DOS at the Fermi energy: 0.3977 states/eV per atom

Geometry as CIF:
```
data_BaLiP2Pt4
_symmetry_space_group_name_H-M 'P 4/m m m'
_symmetry_Int_Tables_number 123
_symmetry_space_group_name_Hall '-P 4 2'
_cell_length_a 4.078
_cell_length_b 4.078
_cell_length_c 9.137
_cell_angle_alpha 90.00
_cell_angle_beta 90.00
_cell_angle_gamma 90.00
loop_
_atom_site_label
_atom_site_type_symbol
_atom_site_fract_x
_atom_site_fract_y
_atom_site_fract_z
_atom_site_occupancy
Ba1 Ba 0.000 0.000 0.000 1
Li1 Li 0.000 0.000 0.500 1
P1 P 0.500 0.500 0.207 1
Pt1 Pt 0.000 0.500 0.331 1
```

---

Record 12
The following is a DFT calculation (PBE) of a geometry-optimized BaLi2PRh2 structure.

Summary:
size of the total moment: 0.0 Bohr magnetons per cell
ΔE_f: -42.1 kJ per mole of atoms
DOS at the Fermi energy: 0.8790 states/eV per atom

Geometry as CIF:
```
data_BaLi2PRh2
_symmetry_space_group_name_H-M 'P 4/m m m'
_symmetry_Int_Tables_number 123
_symmetry_space_group_name_Hall '-P 4 2'
_cell_length_a 4.484
_cell_length_b 4.484
_cell_length_c 6.453
_cell_angle_alpha 90.00
_cell_angle_beta 90.00
_cell_angle_gamma 90.00
loop_
_atom_site_label
_atom_site_type_symbol
_atom_site_fract_x
_atom_site_fract_y
_atom_site_fract_z
_atom_site_occupancy
Ba1 Ba 0.000 0.000 0.000 1
Li1 Li 0.500 0.500 0.281 1
P1 P 0.000 0.000 0.500 1
Rh1 Rh 0.000 0.500 0.500 1
```